(1)
Density functional theory data (GGA-PBE) for a relaxed structure of Li2FeS2.

abc: 3.8856 3.8856 6.2020
angles: 90.00 90.00 120.00
Space group P3m1 (No. 156)
Unique sites:
1 Li 0.0000 0.0000 0.0000 (multiplicity 1)
2 Li 0.3333 0.6667 0.3195 (multiplicity 1)
3 Fe 0.6667 0.3333 0.5949 (multiplicity 1)
4 S 0.3333 0.6667 0.7181 (multiplicity 1)
5 S 0.6667 0.3333 0.2189 (multiplicity 1)

Calculated values
polymorph energy (0 for the lowest one): 53 meV/atom

(2)
Density functional theory data (GGA-PBE) for a relaxed structure of Nd12Ho6Cd.

abc: 12.0750 12.0750 15.2664
angles: 90.00 90.00 120.00
Space group R-3 (No. 148, hexagonal axes)
Unique sites:
1 Nd 0.0098 0.1786 0.3131 (multiplicity 18)
2 Nd 0.0477 0.8468 0.9150 (multiplicity 18)
3 Ho 0.0260 0.4340 0.1923 (multiplicity 18)
4 Cd 0.0000 0.0000 0.5000 (multiplicity 3)

Calculated values
energy of formation from the pure elements: 0.094 eV per atom
polymorph energy (0 for the lowest one): 0 meV/atom